(1)
DFT (PBE-GGA) results for Tb8Th2Hg after structural relaxation.

```
Tb8Th2Hg
1.0
9.658 -2.810 0.000
9.658 2.810 0.000
-0.609 0.000 6.366
Tb Th Hg
8 2 1
direct
0.044 0.044 0.263
0.157 0.157 0.812
0.339 0.339 0.871
0.422 0.422 0.394
0.578 0.578 0.606
0.661 0.661 0.129
0.843 0.843 0.188
0.956 0.956 0.737
0.244 0.244 0.347
0.756 0.756 0.653
0.500 0.500 0.000
```

Properties
- Space group: C2/m, No. 12
- DFT total energy: -4.7623 eV per atom

***

(2)
DFT (PBE-GGA) results for Tb7Th2Sc2 after structural relaxation.

```
Tb7Th2Sc2
1.0
3.394 -5.164 0.000
3.394 5.164 0.000
-0.456 0.000 9.799
Tb Th Sc
7 2 2
direct
0.000 0.000 0.000
0.172 0.584 0.150
0.299 0.299 0.703
0.416 0.828 0.850
0.584 0.172 0.150
0.701 0.701 0.297
0.828 0.416 0.850
0.185 0.185 0.369
0.815 0.815 0.631
0.271 0.729 0.500
0.729 0.271 0.500
```

Properties
- Space group: C2/m, No. 12
- ΔE to the lowest computed polymorph: 0 kJ/mol of formula units
- DFT total energy: -5.3090 eV per atom

***

(3)
DFT (PBE-GGA) results for KMnPbBr6 after structural relaxation.

```
KMnPbBr6
1.0
7.429 0.000 0.000
-3.714 6.434 0.000
0.000 0.000 13.785
K Mn Pb Br
2 2 2 12
direct
0.000 0.000 0.000
0.000 0.000 0.500
0.333 0.667 0.250
0.667 0.333 0.750
0.333 0.667 0.750
0.667 0.333 0.250
0.048 0.394 0.139
0.048 0.654 0.361
0.346 0.394 0.361
0.346 0.952 0.139
0.394 0.048 0.639
0.394 0.346 0.861
0.606 0.654 0.139
0.606 0.952 0.361
0.654 0.048 0.861
0.654 0.606 0.639
0.952 0.346 0.639
0.952 0.606 0.861
```

Properties
- Space group: P-31c, No. 163
- Formation energy (no corrections): -0.961 eV per atom
- DFT total energy: -3.6292 eV per atom